(1)
Sr2CdSnCl8 | GGA-PBE | optimized geometry

## Properties
* E_form (uncorrected): -1.73 eV/atom
* uncorrected energy: -3.655 eV/atom

a b c (Å): 6.4804 8.7173 6.6661
angles (deg): 90.00 90.34 90.00
Space group P2/m (No. 10)
One atom of each set of equivalent atoms:
Sr (0.0000, 0.2436, 0.0000)
Cd (0.5000, 0.0000, 0.5000)
Sn (0.5000, 0.5000, 0.5000)
Cl (0.2282, 0.5000, 0.1649)
Cl (0.2396, 0.0000, 0.1830)
Cl (0.2856, 0.2347, 0.6593)

---

(2)
PmDyTlCu | GGA-PBE | optimized geometry

## Properties
* formation energy from the elements: -0.911 eV per formula unit
* uncorrected energy: -4.181 eV/atom

a b c (Å): 7.4189 7.4189 7.4189
angles (deg): 90.00 90.00 90.00
Space group F-43m (No. 216)
One atom of each set of equivalent atoms:
Pm (0.0000, 0.0000, 0.0000)
Dy (0.0000, 0.0000, 0.5000)
Tl (0.2500, 0.2500, 0.2500)
Cu (0.2500, 0.2500, 0.7500)

---

(3)
Hg6Sb | GGA-PBE | optimized geometry

## Properties
* E_form (uncorrected): 0.43 eV/atom
* uncorrected energy: -0.420 eV/atom

a b c (Å): 8.2466 8.2466 8.2466
angles (deg): 90.00 90.00 90.00
Space group Im-3m (No. 229)
One atom of each set of equivalent atoms:
Hg (0.0000, 0.2500, 0.5000)
Sb (0.0000, 0.0000, 0.0000)

---

One value per record, in order, for magnetic moment: 0.000, 0.132, 2.001 μB per formula unit.